No. 1
! Tb12Pm2Dy5, optimized geometry, DFT GGA-PBE; values from VASP
&SYSTEM
  ibrav = 0, nat = 19, ntyp = 3
/
ATOMIC_SPECIES
Tb 158.93 Tb.upf
Pm 145.00 Pm.upf
Dy 162.50 Dy.upf
CELL_PARAMETERS angstrom
6.1637 0.2432 -0.2527
-2.6892 8.2903 -7.1333
-0.3923 -2.1644 13.6178
ATOMIC_POSITIONS angstrom
Tb -0.3901 0.9034 3.8689
Tb -0.9959 6.8485 -4.9712
Tb 2.1879 5.9827 -3.6266
Tb -0.6027 2.9053 0.9165
Tb 2.3836 4.0196 -0.6871
Tb 0.2919 6.3409 1.0194
Tb 2.7903 0.0282 5.2124
Tb 3.6850 3.4638 5.3153
Tb 0.6986 2.3495 6.9188
Tb 4.0781 -0.4794 11.2029
Tb 0.8943 0.3864 9.8584
Tb 3.4724 5.4657 2.3629
Pm 1.9832 7.9688 -6.5792
Pm 1.0990 -1.5997 12.8110
Dy 0.5003 4.3430 3.9625
Dy -0.7963 4.8784 -2.0337
Dy -0.1962 -1.0822 6.8089
Dy 3.8785 1.4907 8.2655
Dy 2.5820 2.0261 2.2693
! Energy above the most stable polymorph in this dataset = 0 meV per atom
! Calculated density = 8.22 g/cm3
! Space group = P-1 (2)
! E_form = 0.0160 eV/atom

=====

No. 2
! Tb5PmDy6, optimized geometry, DFT GGA-PBE; values from VASP
&SYSTEM
  ibrav = 0, nat = 12, ntyp = 3
/
ATOMIC_SPECIES
Tb 158.93 Tb.upf
Pm 145.00 Pm.upf
Dy 162.50 Dy.upf
CELL_PARAMETERS angstrom
-10.8555 3.8350 -2.5288
-3.3496 -4.2874 2.8978
-1.6546 0.8324 5.8755
ATOMIC_POSITIONS angstrom
Tb -7.0891 1.7571 3.1344
Tb -1.6680 -1.1513 2.9250
Tb -7.1025 -0.2262 0.1845
Tb -3.3361 -2.3037 5.8483
Tb -8.7705 -1.3771 3.1100
Pm 0.0000 0.0000 0.0000
Dy -8.9632 2.7932 0.3082
Dy -5.2284 -1.2591 3.0155
Dy -3.5609 -0.1122 0.0917
Dy -10.6441 -0.3402 0.2773
Dy -10.6312 1.6391 3.2289
Dy -6.8964 -2.4132 5.9363
! Energy above the most stable polymorph in this dataset = 0 meV per atom
! Calculated density = 8.33 g/cm3
! Space group = C2/m (12)
! E_form = 0.0143 eV/atom

=====

No. 3
! TbPm12Dy3, optimized geometry, DFT GGA-PBE; values from VASP
&SYSTEM
  ibrav = 0, nat = 16, ntyp = 3
/
ATOMIC_SPECIES
Tb 158.93 Tb.upf
Pm 145.00 Pm.upf
Dy 162.50 Dy.upf
CELL_PARAMETERS angstrom
-3.6917 -1.9531 -2.9733
3.5571 -1.9681 -3.1237
0.1940 -17.2084 11.0630
ATOMIC_POSITIONS angstrom
Tb 0.0000 0.0000 0.0000
Pm -0.0673 -1.9606 -3.0485
Pm -0.0188 -6.2658 -0.2807
Pm 0.0297 -10.5648 2.4830
Pm 0.0781 -14.8637 5.2467
Pm -1.8216 -3.1308 -0.1017
Pm -1.7731 -7.4299 2.6621
Pm -1.7246 -11.7316 5.4276
Pm -1.6762 -16.0307 8.1915
Pm 1.8028 -3.1383 -0.1769
Pm 1.8513 -7.4374 2.5869
Pm 1.8998 -11.7391 5.3524
Pm 1.9482 -16.0382 8.1162
Dy 0.0485 -4.3044 2.7672
Dy 0.0970 -8.6042 5.5315
Dy 0.1455 -12.9040 8.2958
! Calculated density = 7.37 g/cm3
! Space group = P4/mmm (123)
! E_form = 0.0146 eV/atom

=====

No. 4
! Tb15PmDy4, optimized geometry, DFT GGA-PBE; values from VASP
&SYSTEM
  ibrav = 0, nat = 20, ntyp = 3
/
ATOMIC_SPECIES
Tb 158.93 Tb.upf
Pm 145.00 Pm.upf
Dy 162.50 Dy.upf
CELL_PARAMETERS angstrom
5.0376 0.0000 0.0000
0.0000 5.0376 0.0000
0.0000 0.0000 25.1804
ATOMIC_POSITIONS angstrom
Tb 2.5188 2.5188 0.0000
Tb 2.5188 2.5188 5.0621
Tb 2.5188 2.5188 10.0773
Tb 2.5188 2.5188 15.1031
Tb 2.5188 2.5188 20.1183
Tb 2.5188 0.0000 2.5467
Tb 2.5188 0.0000 7.5677
Tb 2.5188 0.0000 12.5902
Tb 2.5188 0.0000 17.6127
Tb 2.5188 0.0000 22.6337
Tb 0.0000 2.5188 2.5467
Tb 0.0000 2.5188 7.5677
Tb 0.0000 2.5188 12.5902
Tb 0.0000 2.5188 17.6127
Tb 0.0000 2.5188 22.6337
Pm 0.0000 0.0000 0.0000
Dy 0.0000 0.0000 5.0561
Dy 0.0000 0.0000 10.0793
Dy 0.0000 0.0000 15.1011
Dy 0.0000 0.0000 20.1243
! Calculated density = 8.26 g/cm3
! Space group = P4/mmm (123)
! E_form = 0.0166 eV/atom